{
  "formula": "Nb2CrO",
  "functional": "PBE+U",
  "state": "optimized geometry",
  "lattice_angstrom": [[0.0000, 3.0401, 3.0401], [3.0401, 0.0000, 3.0401], [3.0401, 3.0401, 0.0000]],
  "species": ["Nb", "Nb", "Cr", "O"],
  "fractional_positions": [[0.2500, 0.2500, 0.2500], [0.7500, 0.7500, 0.7500], [0.0000, 0.0000, 0.0000], [0.5000, 0.5000, 0.5000]],
  "final_energy_ev_per_cell": -29.50,
  "vol_a3_per_atom": 14.0,
  "e_above_lowest_polymorph_ev_per_atom": 0.688,
  "space_group": "No. 225"
}